Record 1
# VSb3S

A geometry-optimized VSb3S structure (PBE-GGA, Alexandria via LeMat-Bulk).

Summary:
Spin magnetization = 0.01 μB/f.u.
Total DFT energy (no corrections) = -24.0 eV/f.u.

Cell and atoms, written as CIF:
```
data_VSb3S
_chemical_formula_sum 'V1 Sb3 S1'
_cell_length_a 5.0322
_cell_length_b 5.0322
_cell_length_c 5.0322
_cell_angle_alpha 90.00
_cell_angle_beta 90.00
_cell_angle_gamma 90.00
_space_group_name_H-M_alt 'P m -3 m'
_space_group_IT_number 221
_space_group_name_Hall '-P 4 2 3'
loop_
_atom_site_label
_atom_site_fract_x
_atom_site_fract_y
_atom_site_fract_z
V1 0.0000 0.0000 0.0000
Sb1 0.0000 0.0000 0.5000
S1 0.5000 0.5000 0.5000
```

Record 2
# VSb3S6

A geometry-optimized VSb3S6 structure (PBE-GGA, Alexandria via LeMat-Bulk).

Summary:
Spin magnetization = 1.96 μB/f.u.
Total DFT energy (no corrections) = -49.0 eV/f.u.

Cell and atoms, written as CIF:
```
data_VSb3S6
_chemical_formula_sum 'V2 Sb6 S12'
_cell_length_a 11.1482
_cell_length_b 3.6130
_cell_length_c 14.7633
_cell_angle_alpha 90.00
_cell_angle_beta 110.18
_cell_angle_gamma 90.00
_space_group_name_H-M_alt 'P 1 21/m 1'
_space_group_IT_number 11
loop_
_space_group_symop_operation_xyz
'x,y,z'
'-x,-y,-z'
'-x,y+1/2,-z'
'x,-y+1/2,z'
loop_
_atom_site_label
_atom_site_fract_x
_atom_site_fract_y
_atom_site_fract_z
V1 0.2457 0.2500 0.1950
Sb1 0.0232 0.7500 0.6338
Sb2 0.0620 0.2500 0.8890
Sb3 0.4565 0.2500 0.7991
S1 0.1299 0.7500 0.2647
S2 0.1497 0.2500 0.5878
S3 0.1596 0.7500 0.0709
S4 0.1756 0.7500 0.8105
S5 0.3979 0.7500 0.2927
S6 0.4072 0.2500 0.0965
```

Record 3
# V2Sb5S12

A geometry-optimized V2Sb5S12 structure (PBE-GGA, Alexandria via LeMat-Bulk).

Summary:
Spin magnetization = 0.87 μB/f.u.
Total DFT energy (no corrections) = -92.2 eV/f.u.

Cell and atoms, written as CIF:
```
data_V2Sb5S12
_chemical_formula_sum 'V4 Sb10 S24'
_cell_length_a 13.8997
_cell_length_b 10.4606
_cell_length_c 9.9508
_cell_angle_alpha 90.00
_cell_angle_beta 108.63
_cell_angle_gamma 90.00
_space_group_name_H-M_alt 'C 1 2/m 1'
_space_group_IT_number 12
loop_
_space_group_symop_operation_xyz
'x,y,z'
'-x,-y,-z'
'-x,y,-z'
'x,-y,z'
'x+1/2,y+1/2,z'
'-x+1/2,-y+1/2,-z'
'-x+1/2,y+1/2,-z'
'x+1/2,-y+1/2,z'
loop_
_atom_site_label
_atom_site_fract_x
_atom_site_fract_y
_atom_site_fract_z
V1 0.0000 0.1305 0.0000
Sb1 0.0000 0.5000 0.5000
Sb2 0.1000 0.5000 0.2197
Sb3 0.1939 0.0000 0.9240
S1 0.0035 0.0000 0.8149
S2 0.0660 0.3303 0.3700
S3 0.1434 0.2255 0.0583
S4 0.2100 0.0000 0.6849
```

Record 4
# V3SbS

A geometry-optimized V3SbS structure (PBE-GGA, Alexandria via LeMat-Bulk).

Summary:
Spin magnetization = 10.00 μB/f.u.
Total DFT energy (no corrections) = -29.1 eV/f.u.

Cell and atoms, written as CIF:
```
data_V3SbS
_chemical_formula_sum 'V3 Sb1 S1'
_cell_length_a 5.0941
_cell_length_b 5.0941
_cell_length_c 5.0941
_cell_angle_alpha 90.00
_cell_angle_beta 90.00
_cell_angle_gamma 90.00
_space_group_name_H-M_alt 'P m -3 m'
_space_group_IT_number 221
_space_group_name_Hall '-P 4 2 3'
loop_
_atom_site_label
_atom_site_fract_x
_atom_site_fract_y
_atom_site_fract_z
V1 0.0000 0.0000 0.5000
Sb1 0.0000 0.0000 0.0000
S1 0.5000 0.5000 0.5000
```

Record 5
# VSbS2

A geometry-optimized VSbS2 structure (PBE-GGA, Alexandria via LeMat-Bulk).

Summary:
Spin magnetization = 1.09 μB/f.u.
Total DFT energy (no corrections) = -23.5 eV/f.u.

Cell and atoms, written as CIF:
```
data_VSbS2
_chemical_formula_sum 'V4 Sb4 S8'
_cell_length_a 3.2245
_cell_length_b 24.0873
_cell_length_c 4.6220
_cell_angle_alpha 90.00
_cell_angle_beta 90.00
_cell_angle_gamma 90.00
_space_group_name_H-M_alt 'C m c m'
_space_group_IT_number 63
_space_group_name_Hall '-C 2c 2'
loop_
_atom_site_label
_atom_site_fract_x
_atom_site_fract_y
_atom_site_fract_z
V1 0.0000 0.1984 0.2500
Sb1 0.0000 0.0384 0.7500
S1 0.0000 0.2240 0.7500
S2 0.0000 0.3671 0.7500
```

Record 6
# V3SbS

A geometry-optimized V3SbS structure (PBE-GGA, Alexandria via LeMat-Bulk).

Summary:
Spin magnetization = 0.00 μB/f.u.
Total DFT energy (no corrections) = -35.8 eV/f.u.

Cell and atoms, written as CIF:
```
data_V3SbS
_chemical_formula_sum 'V3 Sb1 S1'
_cell_length_a 4.3273
_cell_length_b 4.3273
_cell_length_c 4.3273
_cell_angle_alpha 90.00
_cell_angle_beta 90.00
_cell_angle_gamma 90.00
_space_group_name_H-M_alt 'P m -3 m'
_space_group_IT_number 221
_space_group_name_Hall '-P 4 2 3'
loop_
_atom_site_label
_atom_site_fract_x
_atom_site_fract_y
_atom_site_fract_z
V1 0.0000 0.0000 0.5000
Sb1 0.5000 0.5000 0.5000
S1 0.0000 0.0000 0.0000
```